No. 1
# Hf3ScPt2

A geometry-optimized Hf3ScPt2 structure (PBE, Alexandria).

Output
D(E_F) = 6.9 states/eV per cell
formation energy from the elements = -0.865 eV per atom

abc: 4.5747 6.5770 8.1317
angles: 90.00 90.00 90.00
With the nearest neighbours (Å) after each atom.
Sites, in units of the cell vectors:
Pt (0.0000, 0.2467, 0.6601)  5 Hf 2.67-2.74, 2 Sc 2.97
Pt (0.5000, 0.2518, 0.1568)  6 Hf 2.67-2.94, 1 Sc 2.74
Pt (0.0000, 0.7467, 0.3399)  5 Hf 2.67-2.74, 2 Sc 2.97
Pt (0.5000, 0.7518, 0.8432)  6 Hf 2.67-2.94, 1 Sc 2.74
Hf (0.5000, 0.6572, 0.1694)  4 Pt 2.67-2.74
Hf (0.5000, 0.1572, 0.8306)  4 Pt 2.67-2.74
Hf (0.0000, 0.9909, 0.0710)  3 Pt 2.71-2.94
Hf (0.0000, 0.3414, 0.3334)  4 Pt 2.67-2.76
Hf (0.0000, 0.8414, 0.6666)  4 Pt 2.67-2.76
Hf (0.0000, 0.4909, 0.9290)  3 Pt 2.71-2.94
Sc (0.5000, 0.5120, 0.5671)  3 Pt 2.74-2.97
Sc (0.5000, 0.0120, 0.4329)  3 Pt 2.74-2.97

=====

No. 2
# HfScPt2

A geometry-optimized HfScPt2 structure (PBE, Alexandria).

Output
D(E_F) = 12.2 states/eV per cell
formation energy from the elements = -0.651 eV per atom

abc: 7.3328 7.3328 5.9439
angles: 51.91 51.91 90.00
With the nearest neighbours (Å) after each atom.
Sites, in units of the cell vectors:
Pt (0.6321, 0.1250, 0.2500)  2 Hf 2.66, 2 Sc 2.73, 2 Pt 2.91
Pt (0.8750, 0.8821, 0.7500)  2 Hf 2.66, 2 Sc 2.73, 2 Pt 2.91
Pt (0.1179, 0.6250, 0.2500)  2 Hf 2.66, 2 Sc 2.73, 2 Pt 2.91
Pt (0.3750, 0.3679, 0.7500)  2 Hf 2.66, 2 Sc 2.73, 2 Pt 2.91
Sc (0.5000, 0.5000, 0.0000)  4 Pt 2.73, 2 Hf 2.91
Sc (0.2500, 0.7500, 0.5000)  4 Pt 2.73, 2 Hf 2.91
Hf (0.0000, 0.0000, 0.0000)  4 Pt 2.66, 2 Sc 2.91
Hf (0.7500, 0.2500, 0.5000)  4 Pt 2.66, 2 Sc 2.91

=====

Question: The highest D(E_F) belongs to which entry?
Answer: HfScPt2

=====

Question: Number 2 is which compound?
Answer: HfScPt2

=====

Question: formation energy from the elements of number 2 (HfScPt2)?
Answer: -0.651 eV per atom

=====

Question: The highest D(E_F) belongs to which entry?
Answer: HfScPt2